A | The following is a GGA-PBE calculation of crystalline Li4HI2 at its relaxed geometry, from the Alexandria database.

The structure in CIF format:
```
data_Li4HI2
_chemical_formula_sum 'Li4 H1 I2'
_space_group_name_H-M_alt 'P 1'
_space_group_IT_number 1
_cell_length_a 8.1422
_cell_length_b 8.1422
_cell_length_c 8.1422
_cell_angle_alpha 148.47
_cell_angle_beta 148.47
_cell_angle_gamma 45.19
loop_
_space_group_symop_operation_xyz
'x,y,z'
loop_
_atom_site_label
_atom_site_fract_x
_atom_site_fract_y
_atom_site_fract_z
_atom_site_occupancy
Li1 0.0000 0.5000 0.5000 1
Li2 0.1480 0.1480 0.0000 1
Li3 0.5000 0.0000 0.5000 1
Li4 0.8520 0.8520 0.0000 1
H1 0.0000 0.0000 0.0000 1
I1 0.3603 0.3603 0.0000 1
I2 0.6397 0.6397 0.0000 1
```

Output
The space group is I4/mmm.



B | The following is a GGA-PBE calculation of crystalline Li4HI2 at its relaxed geometry, from the Alexandria database.

The structure in CIF format:
```
data_Li4HI2
_chemical_formula_sum 'Li4 H1 I2'
_space_group_name_H-M_alt 'P 1'
_space_group_IT_number 1
_cell_length_a 10.5165
_cell_length_b 10.5165
_cell_length_c 10.5165
_cell_angle_alpha 157.81
_cell_angle_beta 157.81
_cell_angle_gamma 31.59
loop_
_space_group_symop_operation_xyz
'x,y,z'
loop_
_atom_site_label
_atom_site_fract_x
_atom_site_fract_y
_atom_site_fract_z
_atom_site_occupancy
Li1 0.0000 0.5000 0.5000 1
Li2 0.1915 0.1915 0.0000 1
Li3 0.5000 0.0000 0.5000 1
Li4 0.8085 0.8085 0.0000 1
H1 0.0000 0.0000 0.0000 1
I1 0.3338 0.3338 0.0000 1
I2 0.6662 0.6662 0.0000 1
```

Output
The space group is I4/mmm.



Energies relative to the minimum, eV/atom: A 0.031; B 0.000



A | The following is a GGA-PBE calculation of crystalline LiH6IO7 at its relaxed geometry, from the Alexandria database.

The structure in CIF format:
```
data_LiH6IO7
_chemical_formula_sum 'Li2 H12 I2 O14'
_space_group_name_H-M_alt 'P 1'
_space_group_IT_number 1
_cell_length_a 5.7684
_cell_length_b 5.8477
_cell_length_c 9.6918
_cell_angle_alpha 103.93
_cell_angle_beta 93.04
_cell_angle_gamma 114.61
loop_
_space_group_symop_operation_xyz
'x,y,z'
loop_
_atom_site_label
_atom_site_fract_x
_atom_site_fract_y
_atom_site_fract_z
_atom_site_occupancy
Li1 0.2477 0.2703 0.4868 1
Li2 0.7523 0.7297 0.5132 1
H1 0.0393 0.7991 0.9329 1
H2 0.1849 0.5493 0.7701 1
H3 0.2877 0.9388 0.2154 1
H4 0.2924 0.7453 0.5163 1
H5 0.3473 0.6472 0.3596 1
H6 0.3735 0.5868 0.0896 1
H7 0.6265 0.4132 0.9104 1
H8 0.6527 0.3528 0.6404 1
H9 0.7076 0.2547 0.4837 1
H10 0.7123 0.0612 0.7846 1
H11 0.8151 0.4507 0.2299 1
H12 0.9607 0.2009 0.0671 1
I1 0.1666 0.1152 0.7861 1
I2 0.8334 0.8848 0.2139 1
O1 0.1590 0.9337 0.6031 1
O2 0.1609 0.8306 0.8596 1
O3 0.1685 0.3129 0.9656 1
O4 0.1848 0.3913 0.7008 1
O5 0.2115 0.0595 0.2582 1
O6 0.3624 0.6316 0.4579 1
O7 0.4513 0.7379 0.1817 1
O8 0.5487 0.2621 0.8183 1
O9 0.6376 0.3684 0.5421 1
O10 0.7885 0.9405 0.7418 1
O11 0.8152 0.6087 0.2992 1
O12 0.8315 0.6871 0.0344 1
O13 0.8391 0.1694 0.1404 1
O14 0.8410 0.0663 0.3969 1
```

Output
The space group is P-1.



B | The following is a GGA-PBE calculation of crystalline LiH6IO7 at its relaxed geometry, from the Alexandria database.

The structure in CIF format:
```
data_LiH6IO7
_chemical_formula_sum 'Li2 H12 I2 O14'
_space_group_name_H-M_alt 'P 1'
_space_group_IT_number 1
_cell_length_a 5.9772
_cell_length_b 6.1694
_cell_length_c 10.3523
_cell_angle_alpha 79.13
_cell_angle_beta 80.53
_cell_angle_gamma 67.01
loop_
_space_group_symop_operation_xyz
'x,y,z'
loop_
_atom_site_label
_atom_site_fract_x
_atom_site_fract_y
_atom_site_fract_z
_atom_site_occupancy
Li1 0.1392 0.2636 0.4673 1
Li2 0.8608 0.7364 0.5327 1
H1 0.2939 0.6334 0.4638 1
H2 0.3016 0.4732 0.6045 1
H3 0.3159 0.9230 0.9556 1
H4 0.3366 0.2603 0.7938 1
H5 0.3621 0.1096 0.2411 1
H6 0.4469 0.6576 0.2188 1
H7 0.5531 0.3424 0.7812 1
H8 0.6379 0.8904 0.7589 1
H9 0.6634 0.7397 0.2062 1
H10 0.6841 0.0770 0.0444 1
H11 0.6984 0.5268 0.3955 1
H12 0.7061 0.3666 0.5362 1
I1 0.0492 0.9213 0.7849 1
I2 0.9508 0.0787 0.2151 1
O1 0.0955 0.4225 0.0189 1
O2 0.1589 0.0353 0.6248 1
O3 0.1801 0.8258 0.1410 1
O4 0.2124 0.1284 0.3037 1
O5 0.2266 0.5211 0.5176 1
O6 0.3344 0.9706 0.8588 1
O7 0.3852 0.3976 0.7535 1
O8 0.6148 0.6024 0.2465 1
O9 0.6656 0.0294 0.1412 1
O10 0.7734 0.4789 0.4824 1
O11 0.7876 0.8716 0.6963 1
O12 0.8199 0.1742 0.8590 1
O13 0.8411 0.9647 0.3752 1
O14 0.9045 0.5775 0.9811 1
```

Output
The space group is P-1.



Energies relative to the minimum, eV/atom: A 0.000; B 0.008